Entry 1:
CeMn4P2 | GGA-PBE | relaxed

a = 3.6774 Å, b = 7.0979 Å, c = 7.0979 Å
α = 90.00°, β = 90.00°, γ = 90.00°
Each line ends with the local moment (μB).
Positions (direct):
1 Mn 0.5000 0.1514 0.5817  0.19
2 Mn 0.0000 0.9183 0.6514  0.19
3 Mn 0.5000 0.8486 0.4183  0.19
4 Mn 0.0000 0.3486 0.0817  0.19
5 Mn 0.0000 0.0817 0.3486  0.19
6 Mn 0.5000 0.4183 0.8486  0.19
7 Mn 0.5000 0.5817 0.1514  0.19
8 Mn 0.0000 0.6514 0.9183  0.19
9 Ce 0.0000 0.5000 0.5000  0.06
10 Ce 0.5000 0.0000 0.0000  0.06
11 P 0.0000 0.2177 0.7823  -0.01
12 P 0.5000 0.2823 0.2823  -0.01
13 P 0.5000 0.7177 0.7177  -0.01
14 P 0.0000 0.7823 0.2177  -0.01

Results
DFT formation energy = -0.64 eV per atom



Entry 2:
Ce2MnP4Pt3 | GGA-PBE | relaxed

a = 4.2706 Å, b = 4.2706 Å, c = 9.5239 Å
α = 90.00°, β = 90.00°, γ = 90.00°
Each line ends with the local moment (μB).
Positions (direct):
1 Pt 0.0000 0.0000 0.5000  0.09
2 Pt 0.0000 0.5000 0.1168  -0.02
3 Pt 0.5000 0.0000 0.8832  -0.02
4 P 0.5000 0.0000 0.6293  -0.03
5 P 0.0000 0.5000 0.3707  -0.03
6 P 0.0000 0.0000 0.0000  0.00
7 P 0.5000 0.5000 0.0000  -0.01
8 Mn 0.5000 0.5000 0.5000  2.80
9 Ce 0.0000 0.5000 0.7527  -0.64
10 Ce 0.5000 0.0000 0.2473  -0.64

Results
DFT formation energy = -0.94 eV per atom



Entry 3:
CeMnP2Rh5 | GGA-PBE | relaxed

a = 4.0031 Å, b = 4.0031 Å, c = 9.8889 Å
α = 90.00°, β = 90.00°, γ = 90.00°
Each line ends with the local moment (μB).
Positions (direct):
1 P 0.5000 0.5000 0.2689  -0.01
2 P 0.5000 0.5000 0.7311  -0.01
3 Rh 0.0000 0.5000 0.1591  -0.01
4 Rh 0.5000 0.0000 0.1591  -0.01
5 Rh 0.0000 0.5000 0.8409  -0.01
6 Rh 0.5000 0.5000 0.5000  -0.03
7 Rh 0.5000 0.0000 0.8409  -0.01
8 Mn 0.0000 0.0000 0.0000  3.14
9 Ce 0.0000 0.0000 0.5000  0.69

Results
DFT formation energy = -0.56 eV per atom



Entry 4:
Ce2MnP3Rh4 | GGA-PBE | relaxed

a = 4.0352 Å, b = 4.0352 Å, c = 10.1794 Å
α = 90.00°, β = 90.00°, γ = 90.00°
Each line ends with the local moment (μB).
Positions (direct):
1 P 0.0000 0.0000 0.5000  0.00
2 P 0.0000 0.5000 0.1343  -0.01
3 P 0.5000 0.0000 0.8657  -0.01
4 Rh 0.0000 0.5000 0.3623  0.08
5 Rh 0.5000 0.5000 0.0000  -0.03
6 Rh 0.0000 0.0000 0.0000  -0.03
7 Rh 0.5000 0.0000 0.6377  0.08
8 Ce 0.0000 0.5000 0.7494  -0.06
9 Ce 0.5000 0.0000 0.2506  -0.06
10 Mn 0.5000 0.5000 0.5000  3.20

Results
DFT formation energy = -0.97 eV per atom



Entry 5:
Ce2MnP4Rh3 | GGA-PBE | relaxed

a = 4.1515 Å, b = 4.1515 Å, c = 9.3583 Å
α = 90.00°, β = 90.00°, γ = 90.00°
Positions (direct):
1 P 0.0000 0.0000 0.0000
2 P 0.0000 0.5000 0.3729
3 P 0.5000 0.0000 0.6271
4 P 0.5000 0.5000 0.0000
5 Rh 0.5000 0.0000 0.8848
6 Rh 0.0000 0.5000 0.1152
7 Rh 0.0000 0.0000 0.5000
8 Ce 0.5000 0.0000 0.2473
9 Ce 0.0000 0.5000 0.7527
10 Mn 0.5000 0.5000 0.5000

Results
DFT formation energy = -1.05 eV per atom



Entry 6:
CeMnP2Rh | GGA-PBE | relaxed

a = 3.9874 Å, b = 3.9874 Å, c = 5.6328 Å
α = 110.73°, β = 110.73°, γ = 90.00°
Each line ends with the local moment (μB).
Positions (direct):
1 Mn 0.7500 0.2500 0.5000  0.01
2 P 0.6270 0.6270 0.2540  0.00
3 P 0.3730 0.3730 0.7460  0.00
4 Rh 0.2500 0.7500 0.5000  0.01
5 Ce 0.0000 0.0000 0.0000  -0.17

Results
DFT formation energy = -0.99 eV per atom



Entry 7:
CeMn2Si2P | GGA-PBE | relaxed

a = 4.2646 Å, b = 4.2646 Å, c = 5.3691 Å
α = 90.00°, β = 90.00°, γ = 90.00°
Each line ends with the local moment (μB).
Positions (direct):
1 P 0.0000 0.0000 0.0000  -0.04
2 Si 0.5000 0.5000 0.2684  -0.04
3 Si 0.5000 0.5000 0.7316  -0.04
4 Mn 0.0000 0.5000 0.0000  1.90
5 Mn 0.5000 0.0000 0.0000  1.90
6 Ce 0.0000 0.0000 0.5000  0.10

Results
uncorrected formation energy = -2.70 eV per formula unit



Entry 8:
CeMnTcP2 | GGA-PBE | relaxed

a = 4.0368 Å, b = 4.0368 Å, c = 5.6615 Å
α = 110.89°, β = 110.89°, γ = 90.00°
Each line ends with the local moment (μB).
Positions (direct):
1 P 0.3665 0.3665 0.7330  -0.02
2 P 0.6335 0.6335 0.2670  -0.02
3 Mn 0.2500 0.7500 0.5000  0.80
4 Tc 0.7500 0.2500 0.5000  0.04
5 Ce 0.0000 0.0000 0.0000  0.16

Results
DFT formation energy = -0.89 eV per atom



Entry 9:
CeTiMnP2 | GGA-PBE | relaxed

a = 3.7997 Å, b = 3.7997 Å, c = 6.4861 Å
α = 107.03°, β = 107.03°, γ = 90.00°
Each line ends with the local moment (μB).
Positions (direct):
1 P 0.3764 0.3764 0.7529  0.01
2 P 0.6236 0.6236 0.2471  0.01
3 Ce 0.0000 0.0000 0.0000  -0.57
4 Ti 0.7500 0.2500 0.5000  -0.41
5 Mn 0.2500 0.7500 0.5000  2.13

Results
DFT formation energy = -1.01 eV per atom



Entry 10:
CePaMn4 | GGA-PBE | relaxed

a = 5.1100 Å, b = 5.1100 Å, c = 5.1100 Å
α = 60.00°, β = 60.00°, γ = 60.00°
Each line ends with the local moment (μB).
Positions (direct):
1 Mn 0.1241 0.6253 0.6253  1.79
2 Mn 0.6253 0.6253 0.6253  1.79
3 Mn 0.6253 0.1241 0.6253  1.79
4 Mn 0.6253 0.6253 0.1241  1.79
5 Ce 0.2500 0.2500 0.2500  -0.54
6 Pa 0.0000 0.0000 0.0000  -0.67

Results
DFT formation energy = -0.01 eV per atom



Entry 11:
CePa2Mn | GGA-PBE | relaxed

a = 3.4319 Å, b = 3.4319 Å, c = 7.4018 Å
α = 90.00°, β = 90.00°, γ = 90.00°
Each line ends with the local moment (μB).
Positions (direct):
1 Pa 0.0000 0.0000 0.2004  -0.12
2 Pa 0.0000 0.0000 0.7996  -0.12
3 Mn 0.5000 0.5000 0.0000  0.73
4 Ce 0.5000 0.5000 0.5000  -0.02

Results
DFT formation energy = 0.10 eV per atom



Entry 12:
CePa2Mn9 | GGA-PBE | relaxed

a = 5.1793 Å, b = 8.2746 Å, c = 8.2746 Å
α = 90.00°, β = 90.00°, γ = 90.00°
Each line ends with the local moment (μB).
Positions (direct):
1 Mn 0.2537 0.3273 0.1727  -0.94
2 Mn 0.5000 0.2975 0.4264  1.77
3 Mn 0.5000 0.0736 0.2025  1.77
4 Mn 0.5000 0.5736 0.2975  1.77
5 Mn 0.2537 0.1727 0.6727  -0.94
6 Mn 0.5000 0.7975 0.0736  1.77
7 Mn 0.7463 0.3273 0.1727  -0.94
8 Mn 0.5000 0.4264 0.7025  1.77
9 Mn 0.5000 0.5000 0.0000  0.85
10 Mn 0.5000 0.0000 0.5000  0.85
11 Mn 0.5000 0.7025 0.5736  1.77
12 Mn 0.2537 0.8273 0.3273  -0.94
13 Mn 0.7463 0.1727 0.6727  -0.94
14 Mn 0.7463 0.8273 0.3273  -0.94
15 Mn 0.5000 0.2025 0.9264  1.77
16 Mn 0.5000 0.9264 0.7975  1.77
17 Mn 0.2537 0.6727 0.8273  -0.94
18 Mn 0.7463 0.6727 0.8273  -0.94
19 Ce 0.0000 0.0000 0.0000  -0.14
20 Ce 0.0000 0.5000 0.5000  -0.14
21 Pa 0.0000 0.6367 0.1367  -0.04
22 Pa 0.0000 0.1367 0.3633  -0.04
23 Pa 0.0000 0.3633 0.8633  -0.04
24 Pa 0.0000 0.8633 0.6367  -0.04

Results
DFT formation energy = 0.04 eV per atom



| no. | V (Å³ per cell) | magnetic moment (μB per formula unit) | raw total energy (eV/cell) |
| --- | --- | --- | --- |
| 1 | 185.3 | 0.81 | -115.867 |
| 2 | 173.7 | 1.50 | -70.182 |
| 3 | 158.5 | 4.02 | -67.705 |
| 4 | 165.7 | 3.26 | -76.391 |
| 5 | 161.3 | 0.01 | -75.203 |
| 6 | 77.5 | 0.17 | -38.234 |
| 7 | 97.6 | 3.79 | -43.225 |
| 8 | 79.7 | 1.04 | -40.719 |
| 9 | 85.2 | 0.93 | -38.882 |
| 10 | 94.4 | 5.84 | -52.150 |
| 11 | 87.2 | 0.45 | -33.712 |
| 12 | 354.6 | 4.08 | -214.061 |